No. 1
ZrInH2 | GGA-PBE | relaxed

Lattice parameters (Å, degrees): 5.8629 5.8629 5.8629 90.00 90.00 90.00
With the nearest neighbours (Å) after each atom.
Space group Fm-3m (No. 225)
Inequivalent atoms, fractional coordinates:
Zr1 0.0000 0.0000 0.0000 x4  8 H 2.54
In1 0.0000 0.0000 0.5000 x4  8 H 2.54
H1 0.2500 0.2500 0.2500 x8  4 Zr 2.54, 4 In 2.54

**Total moment**: 0.00 μB per cell
**DFT total energy**: -4.163 eV/atom
**Excess energy over the best structure of this formula in the dataset**: 0.6301 eV/atom

No. 2
Zr3InH | GGA-PBE | relaxed

Lattice parameters (Å, degrees): 5.7345 16.0658 5.3474 90.00 90.00 90.00
With the nearest neighbours (Å) after each atom.
Space group Cmcm (No. 63)
Inequivalent atoms, fractional coordinates:
Zr1 0.0000 0.0000 0.0000 x4  2 Zr 2.67, 2 In 2.97
Zr2 0.2460 0.1704 0.2500 x8  1 H 2.06
In1 0.0000 0.1651 0.7500 x4  8 Zr 2.97-3.02
H1 0.0000 0.4204 0.7500 x4  2 Zr 2.06

**Total moment**: 0.00 μB per cell
**DFT total energy**: -5.928 eV/atom

No. 3
Zr2InH | GGA-PBE | relaxed

Lattice parameters (Å, degrees): 5.6591 5.6591 10.2003 90.00 90.00 90.00
With the nearest neighbours (Å) after each atom.
Space group I4_1/amd (No. 141, origin choice 2)
Inequivalent atoms, fractional coordinates:
Zr1 0.0000 0.0000 0.0000 x8  2 H 1.90
In1 0.0000 0.2500 0.3750 x4  8 Zr 3.41, 4 In 3.81, 4 H 3.81
H1 0.0000 0.2500 0.8750 x4  4 Zr 1.90

**Total moment**: 0.00 μB per cell
**DFT total energy**: -5.735 eV/atom
**Excess energy over the best structure of this formula in the dataset**: 0.4236 eV/atom

No. 4
ZrInH | GGA-PBE | relaxed

Lattice parameters (Å, degrees): 6.2721 5.5689 5.5677 90.00 90.00 90.00
With the nearest neighbours (Å) after each atom.
Space group Pbcm (No. 57)
Inequivalent atoms, fractional coordinates:
Zr1 0.1080 0.9997 0.2500 x4  4 H 2.08
In1 0.3856 0.0001 0.7500 x4  6 Zr 3.10-3.29, 4 H 3.12, 4 In 3.13
H1 0.0006 0.2500 0.0000 x4  4 Zr 2.08

**Total moment**: 0.00 μB per cell
**DFT total energy**: -5.237 eV/atom
**Excess energy over the best structure of this formula in the dataset**: 0.0609 eV/atom

No. 5
Zr3InH | GGA-PBE | relaxed

Lattice parameters (Å, degrees): 6.1969 9.6192 6.1898 90.00 90.00 90.00
With the nearest neighbours (Å) after each atom.
Space group Cmcm (No. 63)
Inequivalent atoms, fractional coordinates:
Zr1 0.0000 0.2461 0.2500 x4  1 H 2.05
Zr2 0.2464 0.0000 0.0000 x8  2 H 2.24
In1 0.0000 0.2447 0.7500 x4  1 H 2.85, 4 Zr 3.09-3.10
H1 0.0000 0.4595 0.2500 x4  5 Zr 2.05-2.24

**Total moment**: 0.00 μB per cell
**DFT total energy**: -6.668 eV/atom

No. 6
ZrInH | GGA-PBE | relaxed

Lattice parameters (Å, degrees): 7.3979 6.7325 4.1883 90.00 90.00 90.00
With the nearest neighbours (Å) after each atom.
Space group Pnma (No. 62)
Inequivalent atoms, fractional coordinates:
Zr1 0.1752 0.2500 0.0195 x4  2 H 2.10-2.14
In1 0.0000 0.0000 0.5000 x4  2 H 2.28
H1 0.0997 0.7500 0.8231 x4  2 Zr 2.10-2.14, 2 In 2.28

**Total moment**: 0.00 μB per cell
**DFT total energy**: -4.789 eV/atom
**Excess energy over the best structure of this formula in the dataset**: 0.5098 eV/atom

No. 7
ZrInH | GGA-PBE | relaxed

Lattice parameters (Å, degrees): 3.0962 2.9805 5.5381 90.00 106.11 90.00
With the nearest neighbours (Å) after each atom.
Space group Pm (No. 6)
Inequivalent atoms, fractional coordinates:
Zr1 0.0000 0.0000 0.0000 x1  4 H 2.17
In1 0.2691 0.5000 0.5369 x1  3 H 2.79-2.98, 4 In 2.98-3.10
H1 0.5292 0.5000 0.0605 x1  4 Zr 2.17

**Total moment**: 0.00 μB per cell
**DFT total energy**: -5.098 eV/atom
**Excess energy over the best structure of this formula in the dataset**: 0.2001 eV/atom

No. 8
Zr3InH | GGA-PBE | relaxed

Lattice parameters (Å, degrees): 4.3788 4.3788 9.6405 90.00 90.00 90.00
With the nearest neighbours (Å) after each atom.
Space group I4mm (No. 107)
Inequivalent atoms, fractional coordinates:
Zr1 0.0000 0.0000 0.0000 x2  1 H 2.06
Zr2 0.0000 0.5000 0.2515 x4  2 H 2.22
In1 0.0000 0.0000 0.5057 x2  1 H 2.82, 4 Zr 3.10
H1 0.0000 0.0000 0.2133 x2  5 Zr 2.06-2.22

**Total moment**: 0.00 μB per cell
**DFT total energy**: -6.663 eV/atom